Record 1
10
Lattice="3.342 0.000 0.000 0.000 3.342 0.000 0.000 0.000 16.245" Properties=species:S:1:pos:R:3 comment="Mg5AgAu4 GGA-PBE optimized geometry" dos_at_fermi_per_ev_fu=3.42 ef_ev_per_atom=-0.54 magnetic_moment_mub_per_fu=0.00 crystal_system=tetragonal pbc="T T T"
Mg 0.000 0.000 0.000
Mg 0.000 0.000 3.238
Mg 0.000 0.000 6.438
Mg 0.000 0.000 9.807
Mg 0.000 0.000 13.007
Ag 1.671 1.671 8.123
Au 1.671 1.671 1.620
Au 1.671 1.671 4.869
Au 1.671 1.671 11.376
Au 1.671 1.671 14.625



Record 2
28
Lattice="7.038 0.000 0.000 0.000 7.038 0.000 0.000 0.000 7.038" Properties=species:S:1:pos:R:3 comment="Fe3Ni3Ir GGA-PBE optimized geometry" dos_at_fermi_per_ev_fu=4.62 ef_ev_per_atom=0.13 magnetic_moment_mub_per_fu=11.53 crystal_system=cubic pbc="T T T"
Fe 0.318 2.228 6.139
Fe 0.899 3.837 1.290
Fe 1.290 0.899 3.837
Fe 2.228 6.139 0.318
Fe 2.620 3.201 4.809
Fe 3.201 4.809 2.620
Fe 3.837 1.290 0.899
Fe 4.418 6.720 5.747
Fe 4.809 2.620 3.201
Fe 5.747 4.418 6.720
Fe 6.139 0.318 2.228
Fe 6.720 5.747 4.418
Ni 0.980 4.499 6.057
Ni 1.085 5.953 2.434
Ni 1.204 1.204 1.204
Ni 2.315 5.834 4.723
Ni 2.434 1.085 5.953
Ni 2.539 2.539 2.539
Ni 4.499 6.057 0.980
Ni 4.604 4.604 4.604
Ni 4.723 2.315 5.834
Ni 5.834 4.723 2.315
Ni 5.953 2.434 1.085
Ni 6.057 0.980 4.499
Ir 0.243 3.276 3.762
Ir 3.276 3.762 0.243
Ir 3.762 0.243 3.276
Ir 6.795 6.795 6.795



Record 3
14
Lattice="0.000 4.416 4.416 4.416 0.000 4.416 4.416 4.416 0.000" Properties=species:S:1:pos:R:3 comment="Ga2HgO4 GGA-PBE optimized geometry" e_form_raw_ev_per_atom=-1.370 relative_energy_mev_per_atom=0 magnetic_moment_mub_per_fu=0.00 crystal_system=cubic pbc="T T T"
Ga 0.000 0.000 0.000
Ga 2.208 2.208 0.000
Ga 2.208 0.000 2.208
Ga 0.000 2.208 2.208
Hg 3.312 3.312 3.312
Hg 5.520 5.520 5.520
O 6.802 4.237 4.237
O 2.029 2.029 2.029
O 4.594 4.594 2.029
O 4.594 2.029 4.594
O 4.237 6.802 4.237
O 4.237 4.237 6.802
O 6.802 6.802 6.802
O 2.029 4.594 4.594



Record 4
12
Lattice="2.535 1.464 7.813 -2.535 1.464 7.813 0.000 -2.928 7.813" Properties=species:S:1:pos:R:3 comment="PrZn2Cu9 GGA-PBE optimized geometry" dos_at_fermi_per_ev_fu=5.21 relative_energy_mev_per_atom=35 ef_ev_per_atom=-0.08 magnetic_moment_mub_per_fu=0.00 crystal_system=trigonal pbc="T T T"
Pr 0.000 0.000 0.000
Zn 0.000 0.000 3.441
Zn 0.000 0.000 19.998
Cu -1.292 -0.746 9.857
Cu 0.000 0.000 7.828
Cu 0.000 -1.492 13.582
Cu -1.292 0.746 13.582
Cu 0.000 0.000 11.720
Cu 1.292 -0.746 9.857
Cu 0.000 1.492 9.857
Cu 0.000 0.000 15.611
Cu 1.292 0.746 13.582



What did the second record say?
28
Lattice="7.038 0.000 0.000 0.000 7.038 0.000 0.000 0.000 7.038" Properties=species:S:1:pos:R:3 comment="Fe3Ni3Ir GGA-PBE optimized geometry" dos_at_fermi_per_ev_fu=4.62 ef_ev_per_atom=0.13 magnetic_moment_mub_per_fu=11.53 crystal_system=cubic pbc="T T T"
Fe 0.318 2.228 6.139
Fe 0.899 3.837 1.290
Fe 1.290 0.899 3.837
Fe 2.228 6.139 0.318
Fe 2.620 3.201 4.809
Fe 3.201 4.809 2.620
Fe 3.837 1.290 0.899
Fe 4.418 6.720 5.747
Fe 4.809 2.620 3.201
Fe 5.747 4.418 6.720
Fe 6.139 0.318 2.228
Fe 6.720 5.747 4.418
Ni 0.980 4.499 6.057
Ni 1.085 5.953 2.434
Ni 1.204 1.204 1.204
Ni 2.315 5.834 4.723
Ni 2.434 1.085 5.953
Ni 2.539 2.539 2.539
Ni 4.499 6.057 0.980
Ni 4.604 4.604 4.604
Ni 4.723 2.315 5.834
Ni 5.834 4.723 2.315
Ni 5.953 2.434 1.085
Ni 6.057 0.980 4.499
Ir 0.243 3.276 3.762
Ir 3.276 3.762 0.243
Ir 3.762 0.243 3.276
Ir 6.795 6.795 6.795